Compound: MnTlP2O8
Source: the Alexandria database
Functional: GGA+U
Structure: optimized geometry

a b c (Å): 4.758 4.758 8.372
angles (deg): 73.49 73.49 60.00
Last column: magnetic moment on the atom in μB.
Fractional positions:
P 0.735 0.735 0.796  0.01
P 0.265 0.265 0.204  0.01
O 0.748 0.008 0.855  -0.04
O 0.199 0.199 0.402  -0.08
O 0.611 0.252 0.145  -0.04
O 0.992 0.611 0.145  -0.04
O 0.801 0.801 0.598  -0.08
O 0.389 0.748 0.855  -0.04
O 0.252 0.992 0.145  -0.04
O 0.008 0.389 0.855  -0.04
Mn 0.000 0.000 0.000  3.15
Tl 0.500 0.500 0.500  -0.04

The calculation puts the density of states at the Fermi level at 3.16 states/eV/cell. Its total energy is -6.708 eV/atom.